(1)
GGA-PBE Cr2Sb2Pb, relaxed; SG = I4/mmm, No. 139; offset from the most stable computed form = 0 meV per atom
1.0
3.3671 0.0000 0.0000
0.0000 3.3671 0.0000
1.6836 1.6836 10.1075
Cr Pb Sb
2 1 2
Cartesian
3.3671 1.6836 5.0537
1.6836 3.3671 5.0537
0.0000 0.0000 0.0000
3.3671 3.3671 7.2023
1.6836 1.6836 2.9052


(2)
GGA-PBE CrNiTeN2, relaxed; SG = P4/mmm, No. 123; offset from the most stable computed form = 687 meV per atom
1.0
-0.2896 2.2449 2.9916
0.1810 -2.9886 2.2602
5.5750 0.4757 0.1826
Te Cr N Ni
1 1 2 1
Cartesian
2.7875 0.2379 0.0913
2.7332 -0.1340 2.7172
0.0905 -1.4943 1.1301
-0.1448 1.1225 1.4958
0.0000 0.0000 0.0000


(3)
GGA-PBE CdSiRu2, relaxed; E_tot = -24.25 eV per cell; SG = Amm2, No. 38
1.0
4.2858 0.0000 0.0000
0.0000 2.8987 -0.0009
0.0000 1.4499 5.0258
Ru Cd Si
2 1 1
Cartesian
0.0000 0.1806 0.2319
2.1429 1.6312 1.2923
2.1429 3.0818 3.6927
0.0000 1.6293 2.3205


(4)
GGA-PBE CaSnPb3, relaxed; SG = Cm, No. 8; energy of formation = -0.11 eV/atom; offset from the most stable computed form = 0 meV per atom
1.0
5.7539 1.1670 1.0483
1.0821 5.6274 0.8543
1.1334 1.1417 5.5660
Ca Pb Sn
1 3 1
Cartesian
5.3674 3.5234 3.2959
1.5818 4.3934 4.1654
2.8392 3.3646 0.9157
2.8650 1.1108 3.2830
5.1138 1.0921 0.9840


Size of the total moment values (in μB per atom) by entry order: 0.0000 1.1588 0.1210 0.0000.
N(E_F) values (in states/eV per cell) by entry order: 3.4 5.5 4.8 2.5.